1.
Material: TmHfSbC
Method: DFT, PBE-GGA
State: optimized geometry

POSCAR file:
```
TmHfSbC
1.0
3.4764 0.0000 0.0000
-1.7382 3.0106 0.0000
0.0000 0.0000 14.4879
Tm Hf Sb C
2 2 2 2
direct
0.3333 0.6667 0.0000
0.6667 0.3333 0.5000
0.3333 0.6667 0.3263
0.6667 0.3333 0.8263
0.3333 0.6667 0.6694
0.6667 0.3333 0.1694
0.0000 0.0000 0.4038
0.0000 0.0000 0.9038
```

E_tot	-7.6641	eV per atom
M_tot	0.0	μB per cell
symmetry	P6_3mc (186)



2.
Material: TmHfSbC
Method: DFT, PBE-GGA
State: optimized geometry

POSCAR file:
```
TmHfSbC
1.0
3.4808 0.0000 0.0000
-1.7404 3.0145 0.0000
0.0000 0.0000 14.4632
Tm Hf Sb C
2 2 2 2
direct
0.0000 0.0000 0.1699
0.0000 0.0000 0.8301
0.6667 0.3333 0.3438
0.6667 0.3333 0.6562
0.0000 0.0000 0.5000
0.6667 0.3333 0.0000
0.3333 0.6667 0.2663
0.3333 0.6667 0.7337
```

E_tot	-7.6617	eV per atom
M_tot	0.0	μB per cell
symmetry	P-6m2 (187)